Below is crystalline SrMg2Cd at its relaxed geometry, with properties calculated at the PBE-GGA level.

The structure in POSCAR format:
```
SrMg2Cd
1.0
17.7743 0.0000 0.0000
0.0000 8.3630 0.0000
0.0000 0.0000 6.2277
Sr Mg Cd
8 16 8
Direct
0.1065 0.2500 0.2432 Sr
0.1398 0.7500 0.4642 Sr
0.3602 0.2500 0.9642 Sr
0.3935 0.7500 0.7432 Sr
0.6065 0.2500 0.2568 Sr
0.6398 0.7500 0.0358 Sr
0.8602 0.2500 0.5358 Sr
0.8935 0.7500 0.7568 Sr
0.0363 0.0589 0.7474 Mg
0.0363 0.4411 0.7474 Mg
0.2129 0.5583 0.9510 Mg
0.2129 0.9417 0.9510 Mg
0.2871 0.0583 0.4510 Mg
0.2871 0.4417 0.4510 Mg
0.4637 0.5589 0.2474 Mg
0.4637 0.9411 0.2474 Mg
0.5363 0.0589 0.7526 Mg
0.5363 0.4411 0.7526 Mg
0.7129 0.5583 0.5490 Mg
0.7129 0.9417 0.5490 Mg
0.7871 0.0583 0.0490 Mg
0.7871 0.4417 0.0490 Mg
0.9637 0.5589 0.2526 Mg
0.9637 0.9411 0.2526 Mg
0.0696 0.7500 0.9684 Cd
0.1837 0.2500 0.7356 Cd
0.3163 0.7500 0.2356 Cd
0.4304 0.2500 0.4684 Cd
0.5696 0.7500 0.5316 Cd
0.6837 0.2500 0.7644 Cd
0.8163 0.7500 0.2644 Cd
0.9304 0.2500 0.0316 Cd
```

Summary:
D(E_F) = 19.3 states/eV per cell
V = 28.93 A^3/atom
total magnetic moment = 0.0 μB per formula unit
energy of formation = -0.71 eV/f.u.